Arrangement 1

Crystalline Zr2InSe at its relaxed geometry, computed with GGA-PBE.

Summary:
Space-group type: Amm2 (38)
D(E_F) (states/eV per cell): 5.84

Unit cell a=5.1029 b=3.4192 c=10.6143 alpha=90.00 beta=90.00 gamma=90.00
Element x y z (fractional)
Zr: 0.0000 0.0000 0.0000
Zr: 0.0000 0.5000 0.5000
Zr: 0.5000 0.0000 0.3238
Zr: 0.5000 0.5000 0.8238
In: 0.5000 0.0000 0.5915
In: 0.5000 0.5000 0.0915
Se: 0.0000 0.0000 0.2950
Se: 0.0000 0.5000 0.7950

Arrangement 2

Crystalline Zr2InSe at its relaxed geometry, computed with GGA-PBE.

Summary:
Space-group type: I-42d (122)
D(E_F) (states/eV per cell): 16.62

Unit cell a=5.6151 b=5.6151 c=15.1031 alpha=90.00 beta=90.00 gamma=90.00
Element x y z (fractional)
Zr: 0.2033 0.2500 0.1250
Zr: 0.2500 0.7033 0.3750
Zr: 0.2500 0.7967 0.8750
Zr: 0.2967 0.2500 0.6250
Zr: 0.7033 0.7500 0.6250
Zr: 0.7500 0.2033 0.8750
Zr: 0.7500 0.2967 0.3750
Zr: 0.7967 0.7500 0.1250
In: 0.0000 0.0000 0.5000
In: 0.0000 0.5000 0.7500
In: 0.5000 0.0000 0.2500
In: 0.5000 0.5000 0.0000
Se: 0.0000 0.0000 0.0000
Se: 0.0000 0.5000 0.2500
Se: 0.5000 0.0000 0.7500
Se: 0.5000 0.5000 0.5000

Arrangement 3

Crystalline Zr2InSe at its relaxed geometry, computed with GGA-PBE.

Summary:
Space-group type: P4/mmm (123)
D(E_F) (states/eV per cell): 3.60

Unit cell a=5.0798 b=5.0798 c=3.2854 alpha=90.00 beta=90.00 gamma=90.00
Element x y z (fractional)
Zr: 0.0000 0.5000 0.0000
Zr: 0.5000 0.0000 0.0000
In: 0.0000 0.0000 0.5000
Se: 0.5000 0.5000 0.5000

Which of them is the least stable? Correct choice: arrangement 2.

Arrangement 1

Crystalline Zr2InSe at its relaxed geometry, computed with GGA-PBE.

Summary:
Space-group type: C2/m (12)
D(E_F) (states/eV per cell): 3.80

Unit cell a=9.8477 b=3.9187 c=5.3533 alpha=90.00 beta=122.66 gamma=90.00
Element x y z (fractional)
Zr: 0.2176 0.0000 0.2177
Zr: 0.2824 0.5000 0.7823
Zr: 0.7176 0.5000 0.2177
Zr: 0.7824 0.0000 0.7823
In: 0.0000 0.0000 0.5000
In: 0.5000 0.5000 0.5000
Se: 0.0000 0.5000 0.0000
Se: 0.5000 0.0000 0.0000

Arrangement 2

Crystalline Zr2InSe at its relaxed geometry, computed with GGA-PBE.

Summary:
Space-group type: P4mm (99)
D(E_F) (states/eV per cell): 1.57

Unit cell a=3.5888 b=3.5888 c=7.5904 alpha=90.00 beta=90.00 gamma=90.00
Element x y z (fractional)
Zr: 0.0000 0.0000 0.0000
Zr: 0.5000 0.5000 0.2505
In: 0.0000 0.0000 0.4753
Se: 0.5000 0.5000 0.8656

Arrangement 3

Crystalline Zr2InSe at its relaxed geometry, computed with GGA-PBE.

Summary:
Space-group type: Fm-3m (225)
D(E_F) (states/eV per cell): 35.69

Unit cell a=6.9760 b=6.9760 c=6.9760 alpha=90.00 beta=90.00 gamma=90.00
Element x y z (fractional)
Zr: 0.2500 0.2500 0.2500
Zr: 0.2500 0.2500 0.7500
Zr: 0.2500 0.7500 0.2500
Zr: 0.2500 0.7500 0.7500
Zr: 0.7500 0.2500 0.2500
Zr: 0.7500 0.2500 0.7500
Zr: 0.7500 0.7500 0.2500
Zr: 0.7500 0.7500 0.7500
In: 0.0000 0.0000 0.0000
In: 0.0000 0.5000 0.5000
In: 0.5000 0.0000 0.5000
In: 0.5000 0.5000 0.0000
Se: 0.0000 0.0000 0.5000
Se: 0.0000 0.5000 0.0000
Se: 0.5000 0.0000 0.0000
Se: 0.5000 0.5000 0.5000

Arrangement 4

Crystalline Zr2InSe at its relaxed geometry, computed with GGA-PBE.

Summary:
Space-group type: Pmmm (47)
D(E_F) (states/eV per cell): 2.41

Unit cell a=3.7768 b=4.4331 c=5.1690 alpha=90.00 beta=90.00 gamma=90.00
Element x y z (fractional)
Zr: 0.0000 0.0000 0.0000
Zr: 0.5000 0.0000 0.5000
In: 0.0000 0.5000 0.5000
Se: 0.5000 0.5000 0.0000

Which of them is the least stable? Correct choice: arrangement 3.

Arrangement 1

Crystalline Zr2InSe at its relaxed geometry, computed with GGA-PBE.

Summary:
Space-group type: R3m (160)
D(E_F) (states/eV per cell): 14.20

Unit cell a=3.4993 b=3.4993 c=25.1479 alpha=90.00 beta=90.00 gamma=120.00
Element x y z (fractional)
Zr: 0.0000 0.0000 0.0000
Zr: 0.0000 0.0000 0.1882
Zr: 0.3333 0.6667 0.6667
Zr: 0.3333 0.6667 0.8549
Zr: 0.6667 0.3333 0.3333
Zr: 0.6667 0.3333 0.5216
In: 0.0000 0.0000 0.4272
In: 0.3333 0.6667 0.0939
In: 0.6667 0.3333 0.7605
Se: 0.0000 0.0000 0.5940
Se: 0.3333 0.6667 0.2606
Se: 0.6667 0.3333 0.9273

Arrangement 2

Crystalline Zr2InSe at its relaxed geometry, computed with GGA-PBE.

Summary:
Space-group type: R-3m (166)
D(E_F) (states/eV per cell): 10.74

Unit cell a=3.4791 b=3.4791 c=25.4028 alpha=90.00 beta=90.00 gamma=120.00
Element x y z (fractional)
Zr: 0.0000 0.0000 0.2389
Zr: 0.0000 0.0000 0.7611
Zr: 0.3333 0.6667 0.4277
Zr: 0.3333 0.6667 0.9056
Zr: 0.6667 0.3333 0.0944
Zr: 0.6667 0.3333 0.5723
In: 0.0000 0.0000 0.0000
In: 0.3333 0.6667 0.6667
In: 0.6667 0.3333 0.3333
Se: 0.0000 0.0000 0.5000
Se: 0.3333 0.6667 0.1667
Se: 0.6667 0.3333 0.8333

Arrangement 3

Crystalline Zr2InSe at its relaxed geometry, computed with GGA-PBE.

Summary:
Space-group type: I-4m2 (119)
D(E_F) (states/eV per cell): 8.15

Unit cell a=4.1654 b=4.1654 c=9.9353 alpha=90.00 beta=90.00 gamma=90.00
Element x y z (fractional)
Zr: 0.0000 0.0000 0.0000
Zr: 0.0000 0.5000 0.2500
Zr: 0.5000 0.0000 0.7500
Zr: 0.5000 0.5000 0.5000
In: 0.0000 0.5000 0.7500
In: 0.5000 0.0000 0.2500
Se: 0.0000 0.0000 0.5000
Se: 0.5000 0.5000 0.0000

Arrangement 4

Crystalline Zr2InSe at its relaxed geometry, computed with GGA-PBE.

Summary:
Space-group type: P4/mmm (123)
D(E_F) (states/eV per cell): 1.89

Unit cell a=3.2807 b=3.2807 c=7.7416 alpha=90.00 beta=90.00 gamma=90.00
Element x y z (fractional)
Zr: 0.0000 0.0000 0.2170
Zr: 0.0000 0.0000 0.7830
In: 0.5000 0.5000 0.5000
Se: 0.5000 0.5000 0.0000

Which of them is the least stable? Correct choice: arrangement 3.

Arrangement 1

Crystalline ZrInSe3 at its relaxed geometry, computed with GGA-PBE.

Summary:
Space-group type: Pm-3m (221)
D(E_F) (states/eV per cell): 2.50

Unit cell a=5.2766 b=5.2766 c=5.2766 alpha=90.00 beta=90.00 gamma=90.00
Element x y z (fractional)
Zr: 0.0000 0.0000 0.0000
In: 0.5000 0.5000 0.5000
Se: 0.0000 0.0000 0.5000
Se: 0.0000 0.5000 0.0000
Se: 0.5000 0.0000 0.0000

Arrangement 2

Crystalline ZrInSe3 at its relaxed geometry, computed with GGA-PBE.

Summary:
Space-group type: P-6c2 (188)
D(E_F) (states/eV per cell): 6.25

Unit cell a=6.8133 b=6.8133 c=6.6113 alpha=90.00 beta=90.00 gamma=120.00
Element x y z (fractional)
Zr: 0.0000 0.0000 0.0000
Zr: 0.0000 0.0000 0.5000
In: 0.6667 0.3333 0.0000
In: 0.6667 0.3333 0.5000
Se: 0.0181 0.3304 0.2500
Se: 0.0181 0.6877 0.7500
Se: 0.3123 0.3304 0.7500
Se: 0.3123 0.9819 0.2500
Se: 0.6696 0.6877 0.2500
Se: 0.6696 0.9819 0.7500

Arrangement 3

Crystalline ZrInSe3 at its relaxed geometry, computed with GGA-PBE.

Summary:
Space-group type: Pm-3m (221)
D(E_F) (states/eV per cell): 6.31

Unit cell a=5.1530 b=5.1530 c=5.1530 alpha=90.00 beta=90.00 gamma=90.00
Element x y z (fractional)
Zr: 0.0000 0.0000 0.0000
In: 0.5000 0.5000 0.5000
Se: 0.0000 0.5000 0.5000
Se: 0.5000 0.0000 0.5000
Se: 0.5000 0.5000 0.0000

Arrangement 4

Crystalline ZrInSe3 at its relaxed geometry, computed with GGA-PBE.

Summary:
Space-group type: Ama2 (40)
D(E_F) (states/eV per cell): 3.00

Unit cell a=3.9538 b=10.6780 c=10.6780 alpha=140.70 beta=90.00 gamma=90.00
Element x y z (fractional)
Zr: 0.2500 0.1756 0.8244
Zr: 0.7500 0.8244 0.1756
In: 0.2500 0.3364 0.6318
In: 0.7500 0.6318 0.3364
Se: 0.2500 0.3796 0.1998
Se: 0.2500 0.7421 0.9480
Se: 0.2500 0.9257 0.4246
Se: 0.7500 0.1998 0.3796
Se: 0.7500 0.4246 0.9257
Se: 0.7500 0.9480 0.7421

Which of them is the least stable? Correct choice: arrangement 3.